The following is a PBE-GGA calculation of Rb2Sb4Br after structural relaxation, from the Alexandria database.

For the density of states at the Fermi level, the calculation gives 8.7 states/eV/f.u. The space-group type is No. 139. The raw formation energy comes out at 0.435 eV/atom.

Unit cell a=5.641 b=5.641 c=19.278 alpha=90.00 beta=90.00 gamma=90.00
Atoms (fractional coordinates):
Rb  0.000  0.000  0.153
Rb  0.000  0.000  0.847
Rb  0.500  0.500  0.347
Rb  0.500  0.500  0.653
Sb  0.000  0.000  0.353
Sb  0.000  0.000  0.647
Sb  0.000  0.500  0.000
Sb  0.000  0.500  0.500
Sb  0.500  0.000  0.000
Sb  0.500  0.000  0.500
Sb  0.500  0.500  0.147
Sb  0.500  0.500  0.853
Br  0.000  0.000  0.500
Br  0.500  0.500  0.000

=====

The following is a PBE-GGA calculation of RbSbBr3 after structural relaxation, from the Alexandria database.

The value obtained for the polymorph energy (0 for the lowest one) is 0.000 eV/atom. For the density of states at the Fermi level, the calculation gives 0.0 states/eV/f.u. The space-group type is No. 1. The raw formation energy comes out at -0.988 eV/atom.

Unit cell a=7.309 b=7.333 c=8.940 alpha=78.88 beta=69.50 gamma=87.98
Atoms (fractional coordinates):
Rb  0.000  0.000  0.000
Rb  0.290  0.577  0.341
Sb  0.624  0.790  0.663
Sb  0.729  0.193  0.523
Br  0.102  0.127  0.331
Br  0.334  0.281  0.682
Br  0.508  0.900  0.966
Br  0.626  0.204  0.272
Br  0.778  0.680  0.358
Br  0.947  0.692  0.712

=====

The following is a PBE-GGA calculation of Rb2SbBr after structural relaxation, from the Alexandria database.

The value obtained for the polymorph energy (0 for the lowest one) is 0.000 eV/atom. For the density of states at the Fermi level, the calculation gives 0.5 states/eV/f.u. The space-group type is No. 122. The raw formation energy comes out at -0.610 eV/atom.

Unit cell a=9.444 b=9.444 c=9.440 alpha=90.00 beta=90.00 gamma=90.00
Atoms (fractional coordinates):
Rb  0.214  0.250  0.125
Rb  0.250  0.714  0.375
Rb  0.250  0.786  0.875
Rb  0.286  0.250  0.625
Rb  0.714  0.750  0.625
Rb  0.750  0.214  0.875
Rb  0.750  0.286  0.375
Rb  0.786  0.750  0.125
Sb  0.000  0.000  0.500
Sb  0.000  0.500  0.750
Sb  0.500  0.000  0.250
Sb  0.500  0.500  0.000
Br  0.000  0.000  0.000
Br  0.000  0.500  0.250
Br  0.500  0.000  0.750
Br  0.500  0.500  0.500

=====

The following is a PBE-GGA calculation of Rb2Sb2Br after structural relaxation, from the Alexandria database.

The value obtained for the polymorph energy (0 for the lowest one) is 0.000 eV/atom. For the density of states at the Fermi level, the calculation gives 1.4 states/eV/f.u. The space-group type is No. 139. The raw formation energy comes out at -0.810 eV/atom.

Unit cell a=4.325 b=4.325 c=20.659 alpha=90.00 beta=90.00 gamma=90.00
Atoms (fractional coordinates):
Rb  0.000  0.000  0.096
Rb  0.000  0.000  0.904
Rb  0.500  0.500  0.404
Rb  0.500  0.500  0.596
Sb  0.000  0.500  0.250
Sb  0.000  0.500  0.750
Sb  0.500  0.000  0.250
Sb  0.500  0.000  0.750
Br  0.000  0.000  0.500
Br  0.500  0.500  0.000

=====

The following is a PBE-GGA calculation of Rb5SbBr8 after structural relaxation, from the Alexandria database.

For the density of states at the Fermi level, the calculation gives 0.0 states/eV/f.u. The space-group type is No. 82. The raw formation energy comes out at -1.359 eV/atom.

Unit cell a=8.788 b=8.788 c=8.788 alpha=109.87 beta=109.87 gamma=108.68
Atoms (fractional coordinates):
Rb  0.000  0.000  0.000
Rb  0.237  0.623  0.131
Rb  0.377  0.508  0.614
Rb  0.492  0.105  0.869
Rb  0.895  0.763  0.386
Sb  0.750  0.250  0.500
Br  0.081  0.246  0.709
Br  0.099  0.696  0.738
Br  0.304  0.043  0.403
Br  0.537  0.372  0.291
Br  0.628  0.919  0.164
Br  0.640  0.901  0.597
Br  0.754  0.463  0.836
Br  0.957  0.360  0.262

=====

The following is a PBE-GGA calculation of Rb3Sb2Br9 after structural relaxation, from the Alexandria database.

The value obtained for the polymorph energy (0 for the lowest one) is 0.026 eV/atom. For the density of states at the Fermi level, the calculation gives 0.0 states/eV/f.u. The space-group type is No. 167. The raw formation energy comes out at -1.124 eV/atom.

Unit cell a=10.376 b=10.376 c=10.376 alpha=81.42 beta=81.42 gamma=81.42
Atoms (fractional coordinates):
Rb  0.075  0.750  0.425
Rb  0.250  0.575  0.925
Rb  0.425  0.075  0.750
Rb  0.575  0.925  0.250
Rb  0.750  0.425  0.075
Rb  0.925  0.250  0.575
Sb  0.156  0.156  0.156
Sb  0.344  0.344  0.344
Sb  0.656  0.656  0.656
Sb  0.844  0.844  0.844
Br  0.077  0.423  0.250
Br  0.083  0.908  0.742
Br  0.092  0.258  0.917
Br  0.242  0.408  0.583
Br  0.250  0.077  0.423
Br  0.258  0.917  0.092
Br  0.408  0.583  0.242
Br  0.417  0.758  0.592
Br  0.423  0.250  0.077
Br  0.577  0.750  0.923
Br  0.583  0.242  0.408
Br  0.592  0.417  0.758
Br  0.742  0.083  0.908
Br  0.750  0.923  0.577
Br  0.758  0.592  0.417
Br  0.908  0.742  0.083
Br  0.917  0.092  0.258
Br  0.923  0.577  0.750

=====

The following is a PBE-GGA calculation of Rb3Sb2Br9 after structural relaxation, from the Alexandria database.

The value obtained for the polymorph energy (0 for the lowest one) is 0.000 eV/atom. For the density of states at the Fermi level, the calculation gives 0.0 states/eV/f.u. The space-group type is No. 14. The raw formation energy comes out at -1.150 eV/atom.

Unit cell a=14.022 b=7.931 c=23.975 alpha=90.00 beta=123.91 gamma=90.00
Atoms (fractional coordinates):
Rb  0.041  0.017  0.396
Rb  0.041  0.483  0.896
Rb  0.301  0.521  0.775
Rb  0.301  0.979  0.275
Rb  0.375  0.015  0.062
Rb  0.375  0.485  0.562
Rb  0.625  0.515  0.438
Rb  0.625  0.985  0.938
Rb  0.699  0.021  0.725
Rb  0.699  0.479  0.225
Rb  0.959  0.517  0.104
Rb  0.959  0.983  0.604
Sb  0.170  0.501  0.339
Sb  0.170  0.999  0.839
Sb  0.327  0.504  0.161
Sb  0.327  0.996  0.661
Sb  0.673  0.004  0.339
Sb  0.673  0.496  0.839
Sb  0.830  0.001  0.161
Sb  0.830  0.499  0.661
Br  0.050  0.694  0.753
Br  0.050  0.806  0.253
Br  0.095  0.572  0.418
Br  0.095  0.928  0.918
Br  0.161  0.190  0.562
Br  0.161  0.310  0.062
Br  0.193  0.720  0.615
Br  0.193  0.780  0.115
Br  0.237  0.089  0.744
Br  0.237  0.411  0.244
Br  0.280  0.222  0.411
Br  0.280  0.278  0.911
Br  0.361  0.688  0.415
Br  0.361  0.812  0.915
Br  0.415  0.570  0.088
Br  0.415  0.930  0.588
Br  0.482  0.198  0.219
Br  0.482  0.302  0.719
Br  0.518  0.698  0.281
Br  0.518  0.802  0.781
Br  0.585  0.070  0.412
Br  0.585  0.430  0.912
Br  0.639  0.188  0.085
Br  0.639  0.312  0.585
Br  0.720  0.722  0.089
Br  0.720  0.778  0.589
Br  0.763  0.589  0.756
Br  0.763  0.911  0.256
Br  0.807  0.220  0.885
Br  0.807  0.280  0.385
Br  0.839  0.690  0.938
Br  0.839  0.810  0.438
Br  0.905  0.072  0.082
Br  0.905  0.428  0.582
Br  0.950  0.194  0.747
Br  0.950  0.306  0.247

=====

The following is a PBE-GGA calculation of Rb3Sb2Br9 after structural relaxation, from the Alexandria database.

The value obtained for the polymorph energy (0 for the lowest one) is 0.016 eV/atom. For the density of states at the Fermi level, the calculation gives 0.0 states/eV/f.u. The space-group type is No. 164. The raw formation energy comes out at -1.134 eV/atom.

Unit cell a=8.005 b=8.005 c=9.818 alpha=90.00 beta=90.00 gamma=120.00
Atoms (fractional coordinates):
Rb  0.000  0.000  0.000
Rb  0.333  0.667  0.667
Rb  0.667  0.333  0.333
Sb  0.333  0.667  0.187
Sb  0.667  0.333  0.813
Br  0.000  0.500  0.000
Br  0.171  0.342  0.337
Br  0.171  0.829  0.337
Br  0.342  0.171  0.663
Br  0.500  0.000  0.000
Br  0.500  0.500  0.000
Br  0.658  0.829  0.337
Br  0.829  0.171  0.663
Br  0.829  0.658  0.663

=====

The following is a PBE-GGA calculation of Rb2Sb2Br after structural relaxation, from the Alexandria database.

The value obtained for the polymorph energy (0 for the lowest one) is 0.277 eV/atom. For the density of states at the Fermi level, the calculation gives 1.4 states/eV/f.u. The space-group type is No. 127. The raw formation energy comes out at -0.532 eV/atom.

Unit cell a=9.524 b=9.524 c=4.932 alpha=90.00 beta=90.00 gamma=90.00
Atoms (fractional coordinates):
Rb  0.198  0.302  0.000
Rb  0.302  0.802  0.000
Rb  0.698  0.198  0.000
Rb  0.802  0.698  0.000
Sb  0.097  0.597  0.500
Sb  0.403  0.097  0.500
Sb  0.597  0.903  0.500
Sb  0.903  0.403  0.500
Br  0.000  0.000  0.500
Br  0.500  0.500  0.500